Density functional theory data (PBE) for a geometry-optimized NaZr3Tc structure.

Computed properties:
- DOS(E_F): 7.7 states/eV per cell
- Total energy: -6.97 eV per atom
- Distance to the lowest polymorph of the same formula: 0 meV/atom
- Spin magnetization: 0.9 μB/cell
- Calculated formation energy: 0.498 eV/atom

a = 5.129 Å, b = 5.129 Å, c = 5.129 Å
α = 90.00°, β = 90.00°, γ = 90.00°
Space group Pm-3m (No. 221)
Inequivalent atoms, fractional coordinates:
Na: 0.000 0.000 0.000
Zr: 0.000 0.500 0.500
Tc: 0.500 0.500 0.500